w) VASP calculation (PBE-GGA) on an optimized crystal structure of HoTmSc2.

Computed properties:
SG ... R-3m

POSCAR file:
```
HoTmSc2
1.0
1.6988 0.9808 10.9297
-1.6988 0.9808 10.9297
0.0000 -1.9616 10.9297
Ho Tm Sc
1 1 2
Direct
0.0000 0.0000 0.0000
0.5000 0.5000 0.5000
0.2498 0.2498 0.2498
0.7502 0.7502 0.7502
```

x) VASP calculation (PBE-GGA) on an optimized crystal structure of HoTmSc2.

Computed properties:
SG ... P2_1/c

POSCAR file:
```
HoTmSc2
1.0
6.5844 0.0000 0.0000
0.0000 8.0472 0.0000
-0.0025 0.0000 8.4767
Ho Tm Sc
4 4 8
Direct
0.1252 0.0292 0.3201
0.1252 0.4708 0.8201
0.8748 0.5292 0.1799
0.8748 0.9708 0.6799
0.3753 0.5257 0.1796
0.3753 0.9743 0.6796
0.6247 0.0257 0.3204
0.6247 0.4743 0.8204
0.1265 0.6683 0.4908
0.1265 0.8317 0.9908
0.3764 0.1683 0.0087
0.3764 0.3317 0.5087
0.6236 0.6683 0.4913
0.6236 0.8317 0.9913
0.8735 0.1683 0.0092
0.8735 0.3317 0.5092
```

Stability order, top to bottom: w), x)

w) VASP calculation (PBE-GGA) on an optimized crystal structure of HoTmSc2.

Computed properties:
SG ... P4mm

POSCAR file:
```
HoTmSc2
1.0
3.7239 0.0000 0.0000
0.0000 3.7239 0.0000
0.0000 0.0000 8.0726
Ho Tm Sc
1 1 2
Direct
0.0000 0.0000 0.0000
0.5000 0.5000 0.3054
0.0000 0.0000 0.5506
0.5000 0.5000 0.7496
```

x) VASP calculation (PBE-GGA) on an optimized crystal structure of HoTmSc2.

Computed properties:
SG ... P4/mmm

POSCAR file:
```
HoTmSc2
1.0
3.4189 0.0000 0.0000
0.0000 3.4189 0.0000
0.0000 0.0000 9.3761
Ho Tm Sc
1 1 2
Direct
0.0000 0.0000 0.0000
0.0000 0.0000 0.5000
0.5000 0.5000 0.2508
0.5000 0.5000 0.7492
```

Stability order, top to bottom: x), w)